[1]
Entry from the Alexandria database: Y2FeSi4Pt3 after structural relaxation (GGA-PBE). Values from VASP.

Geometry as Quantum ESPRESSO input:
```
&SYSTEM
  ibrav = 0, nat = 10, ntyp = 4
/
ATOMIC_SPECIES
Y 88.91 Y.upf
Pt 195.08 Pt.upf
Fe 55.84 Fe.upf
Si 28.09 Si.upf
ATOMIC_POSITIONS crystal
Y 0.000 0.500 0.747
Pt 0.000 0.500 0.131
Fe 0.500 0.500 0.500
Pt 0.500 0.000 0.869
Si 0.000 0.500 0.373
Si 0.500 0.500 0.000
Si 0.000 0.000 0.000
Si 0.500 0.000 0.627
Y 0.500 0.000 0.253
Pt 0.000 0.000 0.500
CELL_PARAMETERS angstrom
4.091 0.000 0.000
0.000 4.091 0.000
0.000 0.000 10.034
```

As for the density of states at the Fermi level: 2.93 states/eV/f.u. For the formation energy without anion corrections, the calculation gives -1.00 eV/atom. The total magnetization comes out at 0.000 μB/cell. The symmetry is P-4m2, No. 115.

---

[2]
Entry from the Alexandria database: YFeSiPt after structural relaxation (GGA-PBE). Values from VASP.

Geometry as Quantum ESPRESSO input:
```
&SYSTEM
  ibrav = 0, nat = 8, ntyp = 4
/
ATOMIC_SPECIES
Y 88.91 Y.upf
Fe 55.84 Fe.upf
Si 28.09 Si.upf
Pt 195.08 Pt.upf
ATOMIC_POSITIONS crystal
Y 0.701 0.500 0.297
Fe 0.110 0.000 0.600
Si 0.123 0.000 0.271
Y 0.701 0.000 0.797
Fe 0.110 0.500 0.100
Pt 0.311 0.500 0.501
Pt 0.311 0.000 0.001
Si 0.123 0.500 0.771
CELL_PARAMETERS angstrom
-2.452 2.630 4.221
2.863 -1.427 2.553
4.934 3.741 -3.444
```

As for the density of states at the Fermi level: 4.23 states/eV/f.u. For the formation energy without anion corrections, the calculation gives -0.60 eV/atom. The total magnetization comes out at 2.786 μB/cell. The excess energy over the best structure of this formula in the dataset comes out at 0.0081 eV per atom. The symmetry is Cm, No. 8.

---

[3]
Entry from the Alexandria database: YFeSiPt after structural relaxation (GGA-PBE). Values from VASP.

Geometry as Quantum ESPRESSO input:
```
&SYSTEM
  ibrav = 0, nat = 8, ntyp = 4
/
ATOMIC_SPECIES
Pt 195.08 Pt.upf
Si 28.09 Si.upf
Fe 55.84 Fe.upf
Y 88.91 Y.upf
ATOMIC_POSITIONS crystal
Pt 0.000 0.500 0.321
Si 0.000 0.000 0.448
Fe 0.000 0.500 0.057
Y 0.000 0.500 0.693
Y 0.500 0.000 0.193
Fe 0.500 0.000 0.557
Si 0.500 0.500 0.948
Pt 0.500 0.000 0.821
CELL_PARAMETERS angstrom
4.073 0.000 0.000
0.000 4.089 0.000
0.000 0.000 9.249
```

As for the density of states at the Fermi level: 3.25 states/eV/f.u. For the formation energy without anion corrections, the calculation gives -0.51 eV/atom. The total magnetization comes out at 3.581 μB/cell. The excess energy over the best structure of this formula in the dataset comes out at 0.0912 eV per atom. The symmetry is Imm2, No. 44.